(1)
Compound: Pr2HoTh
Source: the Alexandria database
Functional: PBE
Structure: optimized geometry

Cell lengths 6.286, 6.286, 5.129 Å; angles 65.94, 65.94, 48.14 degrees
Fractional positions:
Pr (0.000, 0.000, 0.000)
Pr (0.250, 0.250, 0.250)
Ho (0.750, 0.750, 0.750)
Th (0.500, 0.500, 0.500)

## Properties
- formation energy from the elements (eV per atom) = 0.06
- DOS(E_F) (states/eV per cell) = 5.2
- E (eV/atom) = -5.33
- ΔE to the lowest computed polymorph (eV per atom) = 0.024

(2)
Compound: Pr4Ho5Th2
Source: the Alexandria database
Functional: PBE
Structure: optimized geometry

Cell lengths 3.517, 11.654, 11.037 Å; angles 121.87, 99.17, 90.00 degrees
Fractional positions:
Pr (0.000, 0.261, 0.000)
Pr (0.592, 0.592, 0.183)
Pr (0.000, 0.739, 0.000)
Pr (0.408, 0.408, 0.817)
Ho (0.819, 0.111, 0.638)
Ho (0.819, 0.527, 0.638)
Ho (0.181, 0.473, 0.362)
Ho (0.181, 0.889, 0.362)
Ho (0.500, 0.000, 0.000)
Th (0.201, 0.201, 0.402)
Th (0.799, 0.799, 0.598)

## Properties
- formation energy from the elements (eV per atom) = 0.27
- DOS(E_F) (states/eV per cell) = 14.0
- E (eV/atom) = -4.90
- ΔE to the lowest computed polymorph (eV per atom) = 0.045

(3)
Compound: Pr12Ho6Th
Source: the Alexandria database
Functional: PBE
Structure: optimized geometry

Cell lengths 8.867, 8.867, 8.867 Å; angles 98.30, 98.30, 98.30 degrees
Fractional positions:
Pr (0.584, 0.170, 0.584)
Pr (0.170, 0.584, 0.584)
Pr (0.584, 0.584, 0.170)
Pr (0.416, 0.830, 0.416)
Pr (0.830, 0.416, 0.416)
Pr (0.416, 0.416, 0.830)
Pr (0.262, 0.000, 0.738)
Pr (0.262, 0.738, 0.000)
Pr (0.000, 0.262, 0.738)
Pr (0.738, 0.000, 0.262)
Pr (0.738, 0.262, 0.000)
Pr (0.000, 0.738, 0.262)
Ho (0.140, 0.140, 0.402)
Ho (0.860, 0.598, 0.860)
Ho (0.598, 0.860, 0.860)
Ho (0.860, 0.860, 0.598)
Ho (0.140, 0.402, 0.140)
Ho (0.402, 0.140, 0.140)
Th (0.000, 0.000, 0.000)

## Properties
- formation energy from the elements (eV per atom) = 0.13
- DOS(E_F) (states/eV per cell) = 26.4
- E (eV/atom) = -4.72

(4)
Compound: Pr3HoTh2
Source: the Alexandria database
Functional: PBE
Structure: optimized geometry

Cell lengths 5.130, 5.178, 8.086 Å; angles 90.00, 108.49, 90.00 degrees
Fractional positions:
Pr (0.331, 0.000, 0.663)
Pr (0.669, 0.000, 0.337)
Pr (0.500, 0.500, 0.000)
Ho (0.000, 0.000, 0.000)
Th (0.168, 0.500, 0.335)
Th (0.832, 0.500, 0.665)

## Properties
- formation energy from the elements (eV per atom) = 0.07
- DOS(E_F) (states/eV per cell) = 8.4
- E (eV/atom) = -5.55

(5)
Compound: PrHo6Th2
Source: the Alexandria database
Functional: PBE
Structure: optimized geometry

Cell lengths 3.480, 11.970, 11.970 Å; angles 48.01, 54.50, 54.50 degrees
Fractional positions:
Pr (0.000, 0.000, 0.000)
Ho (0.827, 0.336, 0.000)
Ho (0.173, 0.000, 0.664)
Ho (0.173, 0.664, 0.000)
Ho (0.500, 0.336, 0.664)
Ho (0.827, 0.000, 0.336)
Ho (0.500, 0.664, 0.336)
Th (0.333, 0.667, 0.667)
Th (0.667, 0.333, 0.333)

## Properties
- formation energy from the elements (eV per atom) = 0.06
- DOS(E_F) (states/eV per cell) = 12.3
- E (eV/atom) = -5.17

(6)
Compound: Pr2Ho5Th2
Source: the Alexandria database
Functional: PBE
Structure: optimized geometry

Cell lengths 3.484, 8.101, 12.883 Å; angles 119.47, 97.77, 90.00 degrees
Fractional positions:
Pr (0.823, 0.791, 0.646)
Pr (0.177, 0.209, 0.354)
Ho (0.692, 0.840, 0.384)
Ho (0.308, 0.160, 0.616)
Ho (0.909, 0.545, 0.819)
Ho (0.091, 0.455, 0.181)
Ho (0.000, 0.000, 0.000)
Th (0.552, 0.750, 0.103)
Th (0.448, 0.250, 0.897)

## Properties
- formation energy from the elements (eV per atom) = 0.25
- DOS(E_F) (states/eV per cell) = 13.2
- E (eV/atom) = -5.01

(7)
Compound: Pr2Ho3Th
Source: the Alexandria database
Functional: PBE
Structure: optimized geometry

Cell lengths 5.787, 6.322, 10.933 Å; angles 90.00, 90.00, 90.00 degrees
Fractional positions:
Pr (0.000, 0.943, 0.238)
Pr (0.500, 0.110, 0.418)
Pr (0.000, 0.443, 0.762)
Pr (0.500, 0.610, 0.582)
Ho (0.500, 0.136, 0.074)
Ho (0.500, 0.107, 0.751)
Ho (0.000, 0.452, 0.413)
Ho (0.500, 0.636, 0.926)
Ho (0.500, 0.607, 0.249)
Ho (0.000, 0.952, 0.587)
Th (0.000, 0.953, 0.919)
Th (0.000, 0.453, 0.081)

## Properties
- formation energy from the elements (eV per atom) = 0.04
- DOS(E_F) (states/eV per cell) = 18.5
- E (eV/atom) = -5.07

(8)
Compound: Pr4HoTh2
Source: the Alexandria database
Functional: PBE
Structure: optimized geometry

Cell lengths 3.644, 3.644, 20.993 Å; angles 85.02, 85.02, 60.00 degrees
Fractional positions:
Pr (0.380, 0.380, 0.860)
Pr (0.096, 0.096, 0.711)
Pr (0.620, 0.620, 0.140)
Pr (0.904, 0.904, 0.289)
Ho (0.000, 0.000, 0.000)
Th (0.189, 0.189, 0.432)
Th (0.811, 0.811, 0.568)

## Properties
- formation energy from the elements (eV per atom) = 0.04
- DOS(E_F) (states/eV per cell) = 10.3
- E (eV/atom) = -5.46

Question: Number 7 is which compound?
Answer: Pr2Ho3Th